NbCrSbI2 PBE optimized geometry; raw formation energy = 0.691 eV/atom; E above lowest polymorph = 0 meV per atom; space group = P4/mmm
1.0
5.5646 0.0000 0.0000
0.0000 5.5646 0.0000
0.0000 0.0000 5.4804
Nb Cr Sb I
1 1 1 2
Direct
0.0000 0.0000 0.0000
0.5000 0.5000 0.5000
0.0000 0.0000 0.5000
0.0000 0.5000 0.0000
0.5000 0.0000 0.0000

Cs2TlHgBi2 PBE optimized geometry; calculated formation energy = -0.2905 eV/atom; space group = Ibam
1.0
-3.8276 8.8082 3.8419
3.8276 -8.8082 3.8419
3.8276 8.8082 -3.8419
Cs Tl Hg Bi
4 2 2 4
Direct
0.1625 0.2475 0.4100
0.3375 0.7475 0.0851
0.6625 0.2525 0.9149
0.8375 0.7525 0.5900
0.2500 0.7500 0.5000
0.7500 0.2500 0.5000
0.2500 0.2500 0.0000
0.7500 0.7500 0.0000
0.0956 0.7596 0.8551
0.4044 0.2596 0.6640
0.5956 0.7404 0.3360
0.9044 0.2404 0.1449

InTcIr2 PBE optimized geometry; calculated formation energy = 0.3136 eV/atom; space group = Pmmm
1.0
2.8957 0.0000 0.0000
0.0000 4.6538 0.0000
0.0000 0.0000 4.7397
In Tc Ir
1 1 2
Direct
0.0000 0.0000 0.0000
0.5000 0.0000 0.5000
0.0000 0.5000 0.5000
0.5000 0.5000 0.0000

MgPtW2 PBE optimized geometry; calculated formation energy = 0.0030 eV/atom; space group = C2/m
1.0
4.9737 -1.4581 0.0000
4.9737 1.4581 0.0000
-0.9358 0.0000 4.4785
Mg Pt W
1 1 2
Direct
0.0000 0.0000 0.0000
0.5000 0.5000 0.5000
0.2408 0.2408 0.7419
0.7592 0.7592 0.2581

CdFe2Cl PBE optimized geometry; raw formation energy = 0.153 eV/atom; E above lowest polymorph = 72 meV per atom; space group = Cmm2
1.0
1.6912 -2.4340 0.0000
1.6912 2.4340 0.0000
0.0000 0.0000 8.3189
Cd Fe Cl
1 2 1
Direct
0.0000 0.0000 0.0000
0.0000 0.0000 0.4570
0.5000 0.5000 0.2575
0.5000 0.5000 0.6661

Rb3MnTl PBE optimized geometry; calculated formation energy = 0.7119 eV/atom; E above lowest polymorph = 0 meV per atom; space group = Pm-3m
1.0
7.0374 0.0000 0.0000
0.0000 7.0374 0.0000
0.0000 0.0000 7.0374
Rb Mn Tl
3 1 1
Direct
0.0000 0.0000 0.5000
0.0000 0.5000 0.0000
0.5000 0.0000 0.0000
0.5000 0.5000 0.5000
0.0000 0.0000 0.0000

E? In order: -0.1724 -0.0850 -0.2717 -0.3080 -0.1752 -0.0800 Ha/atom.
N(E_F)? In order: 3.5 1.8 4.6 1.9 2.4 7.2 states/eV/f.u..
V? In order: 33.94 43.18 15.97 16.24 17.12 69.71 Å³/atom.